# GGA-PBE BaBeAl2, relaxed
# SG	No. 10
# calculated formation energy	0.11	eV per atom
# V	101	Å³ per cell
data_BaBeAl2
_symmetry_space_group_name_H-M 'P 1'
_symmetry_Int_Tables_number 1
_symmetry_space_group_name_Hall 'P 1'
_cell_length_a 4.5984
_cell_length_b 4.1093
_cell_length_c 5.6452
_cell_angle_alpha 90.00
_cell_angle_beta 108.34
_cell_angle_gamma 90.00
loop_
_atom_site_label
_atom_site_type_symbol
_atom_site_fract_x
_atom_site_fract_y
_atom_site_fract_z
Ba1 Ba 0.0000 0.0000 0.0000
Be1 Be 0.5000 0.0000 0.5000
Al1 Al 0.3061 0.5000 0.6201
Al2 Al 0.6939 0.5000 0.3799

# GGA-PBE BaBeAl2, relaxed
# SG	No. 123
# calculated formation energy	0.23	eV per atom
# V	87	Å³ per cell
data_BaBeAl2
_symmetry_space_group_name_H-M 'P 1'
_symmetry_Int_Tables_number 1
_symmetry_space_group_name_Hall 'P 1'
_cell_length_a 3.3101
_cell_length_b 3.3101
_cell_length_c 7.9270
_cell_angle_alpha 90.00
_cell_angle_beta 90.00
_cell_angle_gamma 90.00
loop_
_atom_site_label
_atom_site_type_symbol
_atom_site_fract_x
_atom_site_fract_y
_atom_site_fract_z
Ba1 Ba 0.0000 0.0000 0.0000
Be1 Be 0.0000 0.0000 0.5000
Al1 Al 0.5000 0.5000 0.3329
Al2 Al 0.5000 0.5000 0.6671

# GGA-PBE Ba2BeAl, relaxed
# energy above the most stable polymorph in this dataset	344	meV/atom
# SG	No. 216
# calculated formation energy	0.50	eV per atom
# V	482	Å³ per cell
data_Ba2BeAl
_symmetry_space_group_name_H-M 'P 1'
_symmetry_Int_Tables_number 1
_symmetry_space_group_name_Hall 'P 1'
_cell_length_a 7.8383
_cell_length_b 7.8383
_cell_length_c 7.8383
_cell_angle_alpha 90.00
_cell_angle_beta 90.00
_cell_angle_gamma 90.00
loop_
_atom_site_label
_atom_site_type_symbol
_atom_site_fract_x
_atom_site_fract_y
_atom_site_fract_z
Ba1 Ba 0.0000 0.0000 0.0000
Ba2 Ba 0.0000 0.5000 0.5000
Ba3 Ba 0.2500 0.2500 0.2500
Ba4 Ba 0.2500 0.7500 0.7500
Ba5 Ba 0.5000 0.0000 0.5000
Ba6 Ba 0.5000 0.5000 0.0000
Ba7 Ba 0.7500 0.2500 0.7500
Ba8 Ba 0.7500 0.7500 0.2500
Be1 Be 0.0000 0.0000 0.5000
Be2 Be 0.0000 0.5000 0.0000
Be3 Be 0.5000 0.0000 0.0000
Be4 Be 0.5000 0.5000 0.5000
Al1 Al 0.2500 0.2500 0.7500
Al2 Al 0.2500 0.7500 0.2500
Al3 Al 0.7500 0.2500 0.2500
Al4 Al 0.7500 0.7500 0.7500